# 1
The following is a PBE-GGA calculation of a relaxed Sm3TeAsCl crystal, from Alexandria.

The space group is P2_1/m (No. 11) and the conventional cell measures 8.8222, 4.1937 and 9.7553 Å, with angles of 90.00, 95.45 and 90.00 degrees. Symmetry generates all atoms from Sm at (0.0921, 0.2500, 0.3466), Sm at (0.1668, 0.2500, 0.9452), Sm at (0.3708, 0.7500, 0.6380), Te at (0.3573, 0.7500, 0.3099), As at (0.1403, 0.2500, 0.6460) and Cl at (0.3719, 0.7500, 0.9265).

---

# 2
The following is a PBE-GGA calculation of a relaxed Sn2AsCl2 crystal, from Alexandria.

The value obtained for the energy above the most stable polymorph in this dataset is 0.142 eV per atom.

The space group is I4/mmm (No. 139) and the conventional cell measures 4.2855, 4.2855 and 13.9092 Å, with angles of 90.00, 90.00 and 90.00 degrees. Symmetry generates all atoms from Sn at (0.0000, 0.0000, 0.1122), As at (0.0000, 0.0000, 0.5000) and Cl at (0.0000, 0.5000, 0.2500).

---

# 3
The following is a PBE-GGA calculation of a relaxed Sn2AsCl2 crystal, from Alexandria.

The value obtained for the energy above the most stable polymorph in this dataset is 0.000 eV per atom.

The space group is P4/mbm (No. 127) and the conventional cell measures 8.3103, 8.3103 and 3.9670 Å, with angles of 90.00, 90.00 and 90.00 degrees. Symmetry generates all atoms from Sn at (0.2045, 0.2955, 0.0000), As at (0.0000, 0.0000, 0.0000) and Cl at (0.1368, 0.6368, 0.5000).

---

# 4
The following is a PBE-GGA calculation of a relaxed Sn3AsCl crystal, from Alexandria.

The value obtained for the energy above the most stable polymorph in this dataset is 0.242 eV per atom.

The space group is Pm-3m (No. 221) and the conventional cell measures 5.3900, 5.3900 and 5.3900 Å, with angles of 90.00, 90.00 and 90.00 degrees. Symmetry generates all atoms from Sn at (0.0000, 0.0000, 0.5000), As at (0.5000, 0.5000, 0.5000) and Cl at (0.0000, 0.0000, 0.0000).

---

# 5
The following is a PBE-GGA calculation of a relaxed SnAs2Cl crystal, from Alexandria.

The value obtained for the energy above the most stable polymorph in this dataset is 0.059 eV per atom.

The space group is I-42d (No. 122) and the conventional cell measures 6.8104, 6.8104 and 10.8780 Å, with angles of 90.00, 90.00 and 90.00 degrees. Symmetry generates all atoms from Sn at (0.0000, 0.0000, 0.0000), As at (0.2361, 0.2500, 0.1250) and Cl at (0.0000, 0.0000, 0.5000).

---

# 6
The following is a PBE-GGA calculation of a relaxed Sn3AsCl crystal, from Alexandria.

The value obtained for the energy above the most stable polymorph in this dataset is 0.000 eV per atom.

The space group is Pm-3m (No. 221) and the conventional cell measures 5.5494, 5.5494 and 5.5494 Å, with angles of 90.00, 90.00 and 90.00 degrees. Symmetry generates all atoms from Sn at (0.0000, 0.0000, 0.5000), As at (0.0000, 0.0000, 0.0000) and Cl at (0.5000, 0.5000, 0.5000).

---

# 7
The following is a PBE-GGA calculation of a relaxed SnAs2Cl crystal, from Alexandria.

The value obtained for the energy above the most stable polymorph in this dataset is 0.000 eV per atom.

The space group is Fm-3m (No. 225) and the conventional cell measures 6.9590, 6.9590 and 6.9590 Å, with angles of 90.00, 90.00 and 90.00 degrees. Symmetry generates all atoms from Sn at (0.0000, 0.0000, 0.0000), As at (0.2500, 0.2500, 0.2500) and Cl at (0.0000, 0.0000, 0.5000).

---

# 8
The following is a PBE-GGA calculation of a relaxed TaSnAs2Cl crystal, from Alexandria.

The space group is P4/mmm (No. 123) and the conventional cell measures 5.1104, 5.1104 and 4.7545 Å, with angles of 90.00, 90.00 and 90.00 degrees. Symmetry generates all atoms from Ta at (0.0000, 0.0000, 0.0000), Sn at (0.5000, 0.5000, 0.5000), As at (0.0000, 0.5000, 0.0000) and Cl at (0.0000, 0.0000, 0.5000).

---

Number 1: uncorrected formation energy -1.4012 eV/atom. Number 2: uncorrected formation energy -0.1428 eV/atom. Number 3: uncorrected formation energy -0.2852 eV/atom. Number 4: uncorrected formation energy 0.5651 eV/atom. Number 5: uncorrected formation energy 0.2965 eV/atom. Number 6: uncorrected formation energy 0.3235 eV/atom. Number 7: uncorrected formation energy 0.2378 eV/atom. Number 8: uncorrected formation energy -0.0147 eV/atom.